1.
## SrMgGaBi2 (PBE-GGA)

Data for an optimized crystal structure of SrMgGaBi2.

Output
- Volume: 320.2 Å³/cell
- Magnetization: 0.000 μB/f.u.
- Energy of formation from the pure elements: -0.268 eV/atom

a b c (Å): 6.6970 6.2066 8.3043
angles (deg): 111.94 90.00 90.00
Positions (direct):
Sr1 0.2326 0.7500 0.5000
Sr2 0.7674 0.2500 0.5000
Mg1 0.5000 0.7500 0.0000
Mg2 0.5000 0.2500 0.0000
Ga1 0.0000 0.0000 0.0000
Ga2 0.0000 0.5000 0.0000
Bi1 0.7270 0.8614 0.7228
Bi2 0.7270 0.6386 0.2772
Bi3 0.2730 0.3614 0.7228
Bi4 0.2730 0.1386 0.2772

2.
## TlNiOs (PBE-GGA)

Data for an optimized crystal structure of TlNiOs.

Output
- Volume: 53.6 Å³/cell
- Relative energy among the computed polymorphs: 64 kJ/mol of formula units
- Magnetization: 2.277 μB/f.u.
- Energy of formation from the pure elements: 0.923 eV/atom

a b c (Å): 4.2329 4.2329 4.2329
angles (deg): 60.00 60.00 60.00
Each line ends with the local moment (μB).
Positions (direct):
Ni1 0.7500 0.7500 0.7500  0.74
Os1 0.0000 0.0000 0.0000  1.50
Tl1 0.5000 0.5000 0.5000  -0.03